A:
Material: SnPtI2N
Method: DFT, PBE-GGA
State: optimized geometry Values from VASP.

Structure (Quantum ESPRESSO input):
```
&SYSTEM
  ibrav = 0, nat = 5, ntyp = 4
/
ATOMIC_SPECIES
Sn 118.71 Sn.upf
Pt 195.08 Pt.upf
I 126.90 I.upf
N 14.01 N.upf
ATOMIC_POSITIONS angstrom
Sn 0.000 0.000 0.000
Pt 2.979 2.979 1.871
I 0.000 2.979 1.871
I 2.979 0.000 1.871
N 2.979 2.979 0.000
CELL_PARAMETERS angstrom
5.957 0.000 0.000
0.000 5.957 0.000
0.000 0.000 3.742
```

Summary:
The density of states at the Fermi level comes out at 2.9 states/eV per cell.

B:
Material: SnPtI2N
Method: DFT, PBE-GGA
State: optimized geometry Values from VASP.

Structure (Quantum ESPRESSO input):
```
&SYSTEM
  ibrav = 0, nat = 5, ntyp = 4
/
ATOMIC_SPECIES
Sn 118.71 Sn.upf
Pt 195.08 Pt.upf
I 126.90 I.upf
N 14.01 N.upf
ATOMIC_POSITIONS angstrom
Sn 0.000 0.000 0.000
Pt 2.982 2.982 1.913
I 0.000 2.982 0.000
I 2.982 0.000 0.000
N 0.000 0.000 1.913
CELL_PARAMETERS angstrom
5.964 0.000 0.000
0.000 5.964 0.000
0.000 0.000 3.826
```

Summary:
The density of states at the Fermi level comes out at 6.6 states/eV per cell.

Computed relative energies in units of meV/atom: A 0; B 727

A:
Material: TaPtI2N
Method: DFT, PBE-GGA
State: optimized geometry Values from VASP.

Structure (Quantum ESPRESSO input):
```
&SYSTEM
  ibrav = 0, nat = 5, ntyp = 4
/
ATOMIC_SPECIES
Ta 180.95 Ta.upf
Pt 195.08 Pt.upf
I 126.90 I.upf
N 14.01 N.upf
ATOMIC_POSITIONS angstrom
Ta 0.000 0.000 0.000
Pt 2.862 2.862 1.833
I 0.000 2.862 1.833
I 2.862 0.000 1.833
N 2.862 2.862 0.000
CELL_PARAMETERS angstrom
5.724 0.000 0.000
0.000 5.724 0.000
0.000 0.000 3.666
```

Summary:
The density of states at the Fermi level comes out at 2.5 states/eV per cell.

B:
Material: TaPtI2N
Method: DFT, PBE-GGA
State: optimized geometry Values from VASP.

Structure (Quantum ESPRESSO input):
```
&SYSTEM
  ibrav = 0, nat = 5, ntyp = 4
/
ATOMIC_SPECIES
Ta 180.95 Ta.upf
Pt 195.08 Pt.upf
I 126.90 I.upf
N 14.01 N.upf
ATOMIC_POSITIONS angstrom
Ta 0.000 0.000 0.000
Pt 2.797 2.797 1.931
I 0.000 2.797 0.000
I 2.797 0.000 0.000
N 0.000 0.000 1.931
CELL_PARAMETERS angstrom
5.594 0.000 0.000
0.000 5.594 0.000
0.000 0.000 3.863
```

Summary:
The density of states at the Fermi level comes out at 4.9 states/eV per cell.

Computed relative energies in units of meV/atom: A 556; B 0

A:
Material: TiPtI2N
Method: DFT, PBE-GGA
State: optimized geometry Values from VASP.

Structure (Quantum ESPRESSO input):
```
&SYSTEM
  ibrav = 0, nat = 5, ntyp = 4
/
ATOMIC_SPECIES
Ti 47.87 Ti.upf
Pt 195.08 Pt.upf
I 126.90 I.upf
N 14.01 N.upf
ATOMIC_POSITIONS angstrom
Ti 0.000 0.000 0.000
Pt 2.791 2.791 1.842
I 0.000 2.791 0.000
I 2.791 0.000 0.000
N 0.000 0.000 1.842
CELL_PARAMETERS angstrom
5.582 0.000 0.000
0.000 5.582 0.000
0.000 0.000 3.685
```

Summary:
The density of states at the Fermi level comes out at 4.9 states/eV per cell.

B:
Material: TiPtI2N
Method: DFT, PBE-GGA
State: optimized geometry Values from VASP.

Structure (Quantum ESPRESSO input):
```
&SYSTEM
  ibrav = 0, nat = 5, ntyp = 4
/
ATOMIC_SPECIES
Ti 47.87 Ti.upf
Pt 195.08 Pt.upf
I 126.90 I.upf
N 14.01 N.upf
ATOMIC_POSITIONS angstrom
Ti 0.000 0.000 0.000
Pt 2.879 2.879 1.860
I 0.000 2.879 1.860
I 2.879 0.000 1.860
N 2.879 2.879 0.000
CELL_PARAMETERS angstrom
5.759 0.000 0.000
0.000 5.759 0.000
0.000 0.000 3.720
```

Summary:
The density of states at the Fermi level comes out at 3.4 states/eV per cell.

Computed relative energies in units of meV/atom: A 0; B 232

A:
Material: PtWI2N
Method: DFT, PBE-GGA
State: optimized geometry Values from VASP.

Structure (Quantum ESPRESSO input):
```
&SYSTEM
  ibrav = 0, nat = 5, ntyp = 4
/
ATOMIC_SPECIES
Pt 195.08 Pt.upf
W 183.84 W.upf
I 126.90 I.upf
N 14.01 N.upf
ATOMIC_POSITIONS angstrom
Pt 0.000 0.000 0.000
W 2.862 2.862 1.838
I 0.000 2.862 0.000
I 2.862 0.000 0.000
N 0.000 0.000 1.838
CELL_PARAMETERS angstrom
5.724 0.000 0.000
0.000 5.724 0.000
0.000 0.000 3.676
```

Summary:
The density of states at the Fermi level comes out at 2.2 states/eV per cell.

B:
Material: PtWI2N
Method: DFT, PBE-GGA
State: optimized geometry Values from VASP.

Structure (Quantum ESPRESSO input):
```
&SYSTEM
  ibrav = 0, nat = 5, ntyp = 4
/
ATOMIC_SPECIES
Pt 195.08 Pt.upf
W 183.84 W.upf
I 126.90 I.upf
N 14.01 N.upf
ATOMIC_POSITIONS angstrom
Pt 0.000 0.000 0.000
W 2.732 2.732 1.898
I 0.000 2.732 1.898
I 2.732 0.000 1.898
N 2.732 2.732 0.000
CELL_PARAMETERS angstrom
5.463 0.000 0.000
0.000 5.463 0.000
0.000 0.000 3.797
```

Summary:
The density of states at the Fermi level comes out at 4.4 states/eV per cell.

Computed relative energies in units of meV/atom: A 625; B 0

A:
Material: YPtI2N
Method: DFT, PBE-GGA
State: optimized geometry Values from VASP.

Structure (Quantum ESPRESSO input):
```
&SYSTEM
  ibrav = 0, nat = 5, ntyp = 4
/
ATOMIC_SPECIES
Y 88.91 Y.upf
Pt 195.08 Pt.upf
I 126.90 I.upf
N 14.01 N.upf
ATOMIC_POSITIONS angstrom
Y 0.000 0.000 0.000
Pt 3.027 3.027 2.041
I 0.000 3.027 0.000
I 3.027 0.000 0.000
N 0.000 0.000 2.041
CELL_PARAMETERS angstrom
6.053 0.000 0.000
0.000 6.053 0.000
0.000 0.000 4.082
```

Summary:
The density of states at the Fermi level comes out at 5.4 states/eV per cell.

B:
Material: YPtI2N
Method: DFT, PBE-GGA
State: optimized geometry Values from VASP.

Structure (Quantum ESPRESSO input):
```
&SYSTEM
  ibrav = 0, nat = 5, ntyp = 4
/
ATOMIC_SPECIES
Y 88.91 Y.upf
Pt 195.08 Pt.upf
I 126.90 I.upf
N 14.01 N.upf
ATOMIC_POSITIONS angstrom
Y 0.000 0.000 0.000
Pt 2.988 2.988 1.861
I 0.000 2.988 1.861
I 2.988 0.000 1.861
N 2.988 2.988 0.000
CELL_PARAMETERS angstrom
5.976 0.000 0.000
0.000 5.976 0.000
0.000 0.000 3.722
```

Summary:
The density of states at the Fermi level comes out at 3.6 states/eV per cell.

Computed relative energies in units of meV/atom: A 403; B 0

A:
Material: YPtIN2
Method: DFT, PBE-GGA
State: optimized geometry Values from VASP.

Structure (Quantum ESPRESSO input):
```
&SYSTEM
  ibrav = 0, nat = 5, ntyp = 4
/
ATOMIC_SPECIES
Y 88.91 Y.upf
Pt 195.08 Pt.upf
I 126.90 I.upf
N 14.01 N.upf
ATOMIC_POSITIONS angstrom
Y 0.000 0.000 0.000
Pt 2.172 2.172 3.203
I 0.000 0.000 3.203
N 0.000 2.172 0.000
N 2.172 0.000 0.000
CELL_PARAMETERS angstrom
4.344 0.000 0.000
0.000 4.344 0.000
0.000 0.000 6.406
```

Summary:
The density of states at the Fermi level comes out at 3.8 states/eV per cell.

B:
Material: YPtIN2
Method: DFT, PBE-GGA
State: optimized geometry Values from VASP.

Structure (Quantum ESPRESSO input):
```
&SYSTEM
  ibrav = 0, nat = 5, ntyp = 4
/
ATOMIC_SPECIES
Y 88.91 Y.upf
Pt 195.08 Pt.upf
I 126.90 I.upf
N 14.01 N.upf
ATOMIC_POSITIONS angstrom
Y 0.000 0.000 0.000
Pt 2.096 2.096 2.644
I 2.096 2.096 0.000
N 0.000 2.096 2.644
N 2.096 0.000 2.644
CELL_PARAMETERS angstrom
4.192 0.000 0.000
0.000 4.192 0.000
0.000 0.000 5.288
```

Summary:
The density of states at the Fermi level comes out at 5.9 states/eV per cell.

Computed relative energies in units of meV/atom: A 150; B 0